VASP calculation (SCAN) on a PBEsol-optimized structure of CuSiPt3.

Computed properties:
The uncorrected formation energy comes out at 0.332 eV/atom. The density of states at the Fermi level comes out at 0.70 states/eV per atom. As for the crystal system: cubic. The symmetry is No. 221. The value obtained for the uncorrected energy is -234.1 eV/f.u.

Cell and atoms, written as POSCAR:
```
CuSiPt3
1.0
4.430 0.000 0.000
0.000 4.430 0.000
0.000 0.000 4.430
Cu Si Pt
1 1 3
Direct
0.000 0.000 0.000
0.500 0.500 0.500
0.000 0.500 0.500
0.500 0.000 0.500
0.500 0.500 0.000
```

VASP calculation (SCAN) on a PBEsol-optimized structure of CuSiPt2.

Computed properties:
The uncorrected formation energy comes out at -0.422 eV/atom. The density of states at the Fermi level comes out at 0.30 states/eV per atom. As for the crystal system: monoclinic. The symmetry is No. 10. The value obtained for the uncorrected energy is -167.3 eV/f.u.

Cell and atoms, written as POSCAR:
```
CuSiPt2
1.0
2.790 0.000 0.000
0.000 3.541 0.000
-0.535 0.000 5.459
Cu Si Pt
1 1 2
Direct
0.000 0.000 0.000
0.000 0.000 0.500
0.442 0.500 0.743
0.558 0.500 0.257
```

VASP calculation (SCAN) on a PBEsol-optimized structure of Cu2SnPt2.

Computed properties:
The density of states at the Fermi level comes out at 0.52 states/eV per atom. As for the crystal system: tetragonal. The symmetry is No. 139. The formation energy is -0.060 eV per atom. The value obtained for the uncorrected energy is -207.0 eV/f.u.

Cell and atoms, written as POSCAR:
```
Cu2SnPt2
1.0
-1.706 1.706 6.708
1.706 -1.706 6.708
1.706 1.706 -6.708
Cu Sn Pt
2 1 2
Direct
0.250 0.750 0.500
0.750 0.250 0.500
0.000 0.000 0.000
0.395 0.395 0.000
0.605 0.605 0.000
```

VASP calculation (SCAN) on a PBEsol-optimized structure of CuSn2PtW.

Computed properties:
The density of states at the Fermi level comes out at 0.55 states/eV per atom. As for the crystal system: tetragonal. The symmetry is No. 123. The formation energy is 1.245 eV per atom. The value obtained for the uncorrected energy is -220.7 eV/f.u.

Cell and atoms, written as POSCAR:
```
CuSn2PtW
1.0
4.979 0.000 0.000
0.000 4.979 0.000
0.000 0.000 4.648
Cu Sn Pt W
1 2 1 1
Direct
0.000 0.000 0.000
0.000 0.500 0.500
0.500 0.000 0.500
0.000 0.000 0.500
0.500 0.500 0.000
```

VASP calculation (SCAN) on a PBEsol-optimized structure of SrCuPt.

Computed properties:
The density of states at the Fermi level comes out at 0.41 states/eV per atom. As for the crystal system: orthorhombic. The symmetry is No. 44. The formation energy is -0.301 eV per atom. The value obtained for the uncorrected energy is -108.6 eV/f.u.

Cell and atoms, written as POSCAR:
```
SrCuPt
1.0
-1.547 1.909 5.037
1.547 -1.909 5.037
1.547 1.909 -5.037
Sr Cu Pt
1 1 1
Direct
0.000 0.000 0.000
0.716 0.716 0.000
0.296 0.296 0.000
```

VASP calculation (SCAN) on a PBEsol-optimized structure of SrCuPt.

Computed properties:
The density of states at the Fermi level comes out at 0.31 states/eV per atom. As for the crystal system: hexagonal. The symmetry is No. 187. The formation energy is -0.593 eV per atom. The value obtained for the uncorrected energy is -109.4 eV/f.u.

Cell and atoms, written as POSCAR:
```
SrCuPt
1.0
4.252 0.000 0.000
-2.126 3.682 0.000
0.000 0.000 4.170
Sr Cu Pt
1 1 1
Direct
0.000 0.000 0.000
0.333 0.667 0.500
0.667 0.333 0.500
```

VASP calculation (SCAN) on a PBEsol-optimized structure of Ta2CuPt.

Computed properties:
The density of states at the Fermi level comes out at 0.75 states/eV per atom. As for the crystal system: tetragonal. The symmetry is No. 99. The formation energy is -0.343 eV per atom. The value obtained for the uncorrected energy is -219.9 eV/f.u.

Cell and atoms, written as POSCAR:
```
Ta2CuPt
1.0
3.254 0.000 0.000
0.000 3.254 0.000
0.000 0.000 5.892
Ta Cu Pt
2 1 1
Direct
0.000 0.000 0.000
0.500 0.500 0.296
0.000 0.000 0.523
0.500 0.500 0.758
```

VASP calculation (SCAN) on a PBEsol-optimized structure of TaCuPt2.

Computed properties:
The density of states at the Fermi level comes out at 0.76 states/eV per atom. As for the crystal system: tetragonal. The symmetry is No. 119. The formation energy is -0.565 eV per atom. The value obtained for the uncorrected energy is -224.4 eV/f.u.

Cell and atoms, written as POSCAR:
```
TaCuPt2
1.0
-1.907 1.907 4.028
1.907 -1.907 4.028
1.907 1.907 -4.028
Ta Cu Pt
1 1 2
Direct
0.000 0.000 0.000
0.250 0.750 0.500
0.500 0.500 0.000
0.750 0.250 0.500
```

VASP calculation (SCAN) on a PBEsol-optimized structure of TaCuPt2.

Computed properties:
The density of states at the Fermi level comes out at 0.45 states/eV per atom. As for the crystal system: tetragonal. The symmetry is No. 123. The formation energy is -0.579 eV per atom. The value obtained for the uncorrected energy is -224.5 eV/f.u.

Cell and atoms, written as POSCAR:
```
TaCuPt2
1.0
2.833 0.000 0.000
0.000 2.833 0.000
0.000 0.000 7.278
Ta Cu Pt
1 1 2
Direct
0.000 0.000 0.000
0.000 0.000 0.500
0.500 0.500 0.262
0.500 0.500 0.738
```

VASP calculation (SCAN) on a PBEsol-optimized structure of TaCu4Pt.

Computed properties:
The density of states at the Fermi level comes out at 0.58 states/eV per atom. As for the crystal system: cubic. The symmetry is No. 216. The formation energy is -0.213 eV per atom. The value obtained for the uncorrected energy is -198.9 eV/f.u.

Cell and atoms, written as POSCAR:
```
TaCu4Pt
1.0
0.000 3.355 3.355
3.355 0.000 3.355
3.355 3.355 0.000
Ta Cu Pt
1 4 1
Direct
0.000 0.000 0.000
0.375 0.375 0.375
0.375 0.375 0.875
0.375 0.875 0.375
0.875 0.375 0.375
0.750 0.750 0.750
```

VASP calculation (SCAN) on a PBEsol-optimized structure of TaCuPt3.

Computed properties:
The density of states at the Fermi level comes out at 0.79 states/eV per atom. As for the crystal system: cubic. The symmetry is No. 221. The formation energy is 1.147 eV per atom. The value obtained for the uncorrected energy is -286.6 eV/f.u.

Cell and atoms, written as POSCAR:
```
TaCuPt3
1.0
4.789 0.000 0.000
0.000 4.789 0.000
0.000 0.000 4.789
Ta Cu Pt
1 1 3
Direct
0.000 0.000 0.000
0.500 0.500 0.500
0.000 0.000 0.500
0.000 0.500 0.000
0.500 0.000 0.000
```

VASP calculation (SCAN) on a PBEsol-optimized structure of TaCuPt2.

Computed properties:
The density of states at the Fermi level comes out at 0.40 states/eV per atom. As for the crystal system: orthorhombic. The symmetry is No. 47. The formation energy is -0.625 eV per atom. The value obtained for the uncorrected energy is -224.7 eV/f.u.

Cell and atoms, written as POSCAR:
```
TaCuPt2
1.0
2.803 0.000 0.000
0.000 3.786 0.000
0.000 0.000 5.520
Ta Cu Pt
1 1 2
Direct
0.000 0.000 0.000
0.000 0.000 0.500
0.500 0.500 0.257
0.500 0.500 0.743
```